No. 1
Th2NpIn | PBE | optimized geometry

Crystal system: trigonal
Magnetization in μB/cell: 0.540
ΔE_f in eV per atom: 0.5308
Space-group type: R-3m (166)
Energy above the lowest structure with this stoichiometry in eV per atom: 0.3560

Lattice parameters (Å, degrees): 3.7985 3.7985 8.9298 77.72 77.72 60.00
Positions (direct):
Th 0.7321 0.7321 0.8037
Np 0.0000 0.0000 0.0000
Th 0.2679 0.2679 0.1963
In 0.5000 0.5000 0.5000

No. 2
Zr3As | PBE | optimized geometry

Crystal system: cubic
Magnetization in μB/cell: 0.001
ΔE_f in eV per atom: -0.1728
Space-group type: Fm-3m (225)

Lattice parameters (Å, degrees): 4.8719 4.8719 4.8719 60.00 60.00 60.00
Positions (direct):
Zr 0.7500 0.7500 0.7500
Zr 0.5000 0.5000 0.5000
As 0.0000 0.0000 0.0000
Zr 0.2500 0.2500 0.2500

No. 3
ThTeH2 | PBE | optimized geometry

Crystal system: orthorhombic
Magnetization in μB/cell: 0.000
Space-group type: Cmcm (63)
Energy above the lowest structure with this stoichiometry in eV per atom: 0.0833

Lattice parameters (Å, degrees): 4.0860 6.1550 6.1725 90.00 90.00 109.39
Positions (direct):
Te 0.0819 0.1638 0.7500
H 0.3111 0.6223 0.9328
H 0.3111 0.6223 0.5672
Th 0.7980 0.5960 0.7500
H 0.6889 0.3777 0.0672
H 0.6889 0.3777 0.4328
Th 0.2020 0.4040 0.2500
Te 0.9181 0.8362 0.2500